DFT (PBE) results for a relaxed structure of SiTe2Mo.

Lattice parameters (Å, degrees): 2.9295 4.3758 6.9582 90.00 91.27 90.00
Last column: nearest neighbours and their distance in Å.
Fractional positions:
Si 0.0000 0.0000 0.0000  2 Si 2.93, 4 Te 2.93
Te 0.2245 0.5000 0.2669  2 Mo 2.81, 2 Te 2.93, 2 Si 2.93
Te 0.7755 0.5000 0.7331  2 Mo 2.81, 2 Te 2.93, 2 Si 2.93
Mo 0.0000 0.0000 0.5000  4 Te 2.81, 2 Mo 2.93

Output
Its calculated total energy is -4.96 eV/atom. The uncorrected formation energy is 0.672 eV/atom.


DFT (PBE) results for a relaxed structure of SiTe3Mo.

Lattice parameters (Å, degrees): 5.2924 5.2924 5.2924 90.00 90.00 90.00
Last column: nearest neighbours and their distance in Å.
Fractional positions:
Si 0.0000 0.0000 0.0000  12 Te 3.74
Te 0.0000 0.5000 0.5000  2 Mo 2.65
Te 0.5000 0.0000 0.5000  2 Mo 2.65
Te 0.5000 0.5000 0.0000  2 Mo 2.65
Mo 0.5000 0.5000 0.5000  6 Te 2.65

Output
Its calculated total energy is -4.33 eV/atom. As for the relative energy among the computed polymorphs: 0 meV/atom. The uncorrected formation energy is 0.807 eV/atom.


DFT (PBE) results for a relaxed structure of SiTeMo2.

Lattice parameters (Å, degrees): 9.3815 9.3815 9.3815 154.39 154.39 36.54
Last column: nearest neighbours and their distance in Å.
Fractional positions:
Si 0.0000 0.0000 0.0000  4 Mo 2.57
Si 0.7500 0.2500 0.5000  4 Mo 2.57
Te 0.2500 0.7500 0.5000  4 Mo 2.79, 4 Si 2.94
Te 0.5000 0.5000 0.0000  4 Mo 2.79, 4 Si 2.94
Mo 0.0584 0.6250 0.9334  2 Si 2.57, 2 Mo 2.58, 2 Te 2.79
Mo 0.3750 0.3084 0.4334  2 Si 2.57, 2 Mo 2.58, 2 Te 2.79
Mo 0.6916 0.1250 0.0666  2 Si 2.57, 2 Mo 2.58, 2 Te 2.79
Mo 0.8750 0.9416 0.5666  2 Si 2.57, 2 Mo 2.58, 2 Te 2.79

Output
Its calculated total energy is -6.99 eV/atom. As for the relative energy among the computed polymorphs: 540 meV/atom. The uncorrected formation energy is 0.564 eV/atom.


DFT (PBE) results for a relaxed structure of Th3Si7Mo.

Lattice parameters (Å, degrees): 9.8797 9.8797 10.8484 90.00 90.00 155.79
Last column: nearest neighbours and their distance in Å.
Fractional positions:
Th 0.1068 0.8932 0.5560  7 Si 2.95-3.13
Th 0.1068 0.8932 0.9440  7 Si 2.95-3.13
Th 0.2362 0.7638 0.2500  11 Si 2.94-3.19
Th 0.7638 0.2362 0.7500  11 Si 2.94-3.19
Th 0.8932 0.1068 0.0560  7 Si 2.95-3.13
Th 0.8932 0.1068 0.4440  7 Si 2.95-3.13
Si 0.2686 0.7314 0.5366  3 Si 2.33-2.34
Si 0.2686 0.7314 0.9634  3 Si 2.33-2.34
Si 0.3740 0.6260 0.6436  3 Si 2.31-2.40
Si 0.3740 0.6260 0.8564  3 Si 2.31-2.40
Si 0.3884 0.6116 0.2500  2 Si 2.59
Si 0.4978 0.5022 0.6236  3 Si 2.40-2.68
Si 0.4978 0.5022 0.8764  3 Si 2.40-2.68
Si 0.5022 0.4978 0.1236  3 Si 2.40-2.68
Si 0.5022 0.4978 0.3764  3 Si 2.40-2.68
Si 0.6116 0.3884 0.7500  2 Si 2.59
Si 0.6260 0.3740 0.1436  3 Si 2.31-2.40
Si 0.6260 0.3740 0.3564  3 Si 2.31-2.40
Si 0.7314 0.2686 0.0366  3 Si 2.33-2.34
Si 0.7314 0.2686 0.4634  3 Si 2.33-2.34
Mo 0.0591 0.9409 0.2500  8 Si 2.70-2.72
Mo 0.9409 0.0591 0.7500  8 Si 2.70-2.72

Output
Its calculated total energy is -6.91 eV/atom. The uncorrected formation energy is -0.455 eV/atom.


DFT (PBE) results for a relaxed structure of ThSi4Mo4.

Lattice parameters (Å, degrees): 8.1953 8.1953 4.8445 90.00 90.00 90.00
Last column: nearest neighbours and their distance in Å.
Fractional positions:
Th 0.2500 0.2500 0.2500  4 Mo 3.21, 8 Si 3.23-3.47
Th 0.7500 0.7500 0.7500  4 Mo 3.21, 8 Si 3.23-3.47
Si 0.0616 0.9090 0.1520  1 Si 2.33, 5 Mo 2.44-2.56
Si 0.0910 0.5616 0.6520  1 Si 2.33, 5 Mo 2.44-2.56
Si 0.4090 0.9384 0.6520  1 Si 2.33, 5 Mo 2.44-2.56
Si 0.4384 0.5910 0.1520  1 Si 2.33, 5 Mo 2.44-2.56
Si 0.5616 0.4090 0.8480  1 Si 2.33, 5 Mo 2.44-2.56
Si 0.5910 0.0616 0.3480  1 Si 2.33, 5 Mo 2.44-2.56
Si 0.9090 0.4384 0.3480  1 Si 2.33, 5 Mo 2.44-2.56
Si 0.9384 0.0910 0.8480  1 Si 2.33, 5 Mo 2.44-2.56
Mo 0.1174 0.8722 0.6437  5 Si 2.44-2.56
Mo 0.1278 0.6174 0.1437  5 Si 2.44-2.56
Mo 0.3722 0.8826 0.1437  5 Si 2.44-2.56
Mo 0.3826 0.6278 0.6437  5 Si 2.44-2.56
Mo 0.6174 0.3722 0.3563  5 Si 2.44-2.56
Mo 0.6278 0.1174 0.8563  5 Si 2.44-2.56
Mo 0.8722 0.3826 0.8563  5 Si 2.44-2.56
Mo 0.8826 0.1278 0.3563  5 Si 2.44-2.56

Output
Its calculated total energy is -8.35 eV/atom. The uncorrected formation energy is -0.306 eV/atom.


DFT (PBE) results for a relaxed structure of ThSiMo.

Lattice parameters (Å, degrees): 4.0714 4.0714 7.6754 90.51 90.51 89.83
Last column: nearest neighbours and their distance in Å.
Fractional positions:
Th 0.2489 0.2489 0.3440  5 Si 3.03-3.39, 4 Mo 3.28-3.39
Th 0.7511 0.7511 0.6560  5 Si 3.03-3.39, 4 Mo 3.28-3.39
Si 0.2573 0.2573 0.7857  4 Mo 2.61-2.63
Si 0.7427 0.7427 0.2143  4 Mo 2.61-2.63
Mo 0.2361 0.7639 0.0000  4 Si 2.61-2.63, 3 Mo 2.72-2.89
Mo 0.7639 0.2361 0.0000  4 Si 2.61-2.63, 3 Mo 2.72-2.89

Output
Its calculated total energy is -8.32 eV/atom. The uncorrected formation energy is -0.430 eV/atom.


Question: Which value of calculated total energy does entry 4 give?
Answer: -6.91 eV/atom


Question: calculated total energy of number 1 (SiTe2Mo)?
Answer: -4.96 eV/atom


Question: Which formula does entry 3 have?
Answer: SiTeMo2


Repeat the third record exactly.
DFT (PBE) results for a relaxed structure of SiTeMo2.

Lattice parameters (Å, degrees): 9.3815 9.3815 9.3815 154.39 154.39 36.54
Last column: nearest neighbours and their distance in Å.
Fractional positions:
Si 0.0000 0.0000 0.0000  4 Mo 2.57
Si 0.7500 0.2500 0.5000  4 Mo 2.57
Te 0.2500 0.7500 0.5000  4 Mo 2.79, 4 Si 2.94
Te 0.5000 0.5000 0.0000  4 Mo 2.79, 4 Si 2.94
Mo 0.0584 0.6250 0.9334  2 Si 2.57, 2 Mo 2.58, 2 Te 2.79
Mo 0.3750 0.3084 0.4334  2 Si 2.57, 2 Mo 2.58, 2 Te 2.79
Mo 0.6916 0.1250 0.0666  2 Si 2.57, 2 Mo 2.58, 2 Te 2.79
Mo 0.8750 0.9416 0.5666  2 Si 2.57, 2 Mo 2.58, 2 Te 2.79

Output
Its calculated total energy is -6.99 eV/atom. As for the relative energy among the computed polymorphs: 540 meV/atom. The uncorrected formation energy is 0.564 eV/atom.